# GGA-PBE EuThNiOs, relaxed
# - ΔE_f (kJ/mol of formula units) = -26
# - density (g/cm3) = 12.3
# - space-group type = F-43m, No. 216
data_EuThNiOs
_chemical_formula_sum 'Eu1 Th1 Ni1 Os1'
_symmetry_space_group_name_H-M 'P 1'
_symmetry_Int_Tables_number 1
_symmetry_space_group_name_Hall 'P 1'
_cell_length_a 4.949
_cell_length_b 4.949
_cell_length_c 4.949
_cell_angle_alpha 60.00
_cell_angle_beta 60.00
_cell_angle_gamma 60.00
loop_
_atom_site_label
_atom_site_type_symbol
_atom_site_fract_x
_atom_site_fract_y
_atom_site_fract_z
Os1 Os 0.250 0.250 0.250
Eu1 Eu 0.000 0.000 0.000
Ni1 Ni 0.750 0.750 0.750
Th1 Th 0.500 0.500 0.500

# GGA-PBE EuNi10P6, relaxed
# - ΔE_f (kJ/mol of formula units) = -1041
# - density (g/cm3) = 6.8
# - space-group type = Cmce, No. 64
data_EuNi10P6
_chemical_formula_sum 'Eu2 Ni20 P12'
_symmetry_space_group_name_H-M 'P 1'
_symmetry_Int_Tables_number 1
_symmetry_space_group_name_Hall 'P 1'
_cell_length_a 8.650
_cell_length_b 8.650
_cell_length_c 8.717
_cell_angle_alpha 90.00
_cell_angle_beta 90.00
_cell_angle_gamma 136.43
loop_
_atom_site_label
_atom_site_type_symbol
_atom_site_fract_x
_atom_site_fract_y
_atom_site_fract_z
Eu1 Eu 0.500 0.500 0.000
Ni1 Ni 0.874 0.528 0.470
P1 P 0.354 0.146 0.250
P2 P 0.591 0.409 0.629
Ni2 Ni 0.087 0.413 0.250
Ni3 Ni 0.913 0.587 0.750
P3 P 0.146 0.354 0.750
Ni4 Ni 0.972 0.626 0.030
P4 P 0.091 0.909 0.871
Ni5 Ni 0.028 0.374 0.970
Ni6 Ni 0.543 0.457 0.381
Ni7 Ni 0.706 0.294 0.210
P5 P 0.709 0.291 0.928
Ni8 Ni 0.957 0.043 0.881
Ni9 Ni 0.626 0.972 0.970
P6 P 0.646 0.854 0.750
Ni10 Ni 0.126 0.472 0.530
P7 P 0.909 0.091 0.129
P8 P 0.854 0.646 0.250
Ni11 Ni 0.472 0.126 0.470
Ni12 Ni 0.294 0.706 0.790
Ni13 Ni 0.528 0.874 0.530
P9 P 0.791 0.209 0.428
P10 P 0.409 0.591 0.371
Ni14 Ni 0.794 0.206 0.710
Ni15 Ni 0.206 0.794 0.290
Ni16 Ni 0.587 0.913 0.250
Ni17 Ni 0.374 0.028 0.030
Ni18 Ni 0.043 0.957 0.119
P11 P 0.291 0.709 0.072
Ni19 Ni 0.413 0.087 0.750
Ni20 Ni 0.457 0.543 0.619
P12 P 0.209 0.791 0.572
Eu2 Eu 0.000 0.000 0.500

# GGA-PBE EuNiP, relaxed
# - ΔE_f (kJ/mol of formula units) = -282
# - density (g/cm3) = 7.1
# - space-group type = P-6m2, No. 187
data_EuNiP
_chemical_formula_sum 'Eu1 Ni1 P1'
_symmetry_space_group_name_H-M 'P 1'
_symmetry_Int_Tables_number 1
_symmetry_space_group_name_Hall 'P 1'
_cell_length_a 4.244
_cell_length_b 3.913
_cell_length_c 3.913
_cell_angle_alpha 60.00
_cell_angle_beta 90.00
_cell_angle_gamma 90.00
loop_
_atom_site_label
_atom_site_type_symbol
_atom_site_fract_x
_atom_site_fract_y
_atom_site_fract_z
Eu1 Eu 0.000 0.000 0.000
Ni1 Ni 0.500 0.333 0.333
P1 P 0.500 0.667 0.667

Total moment per entry: 6.73, 13.57, 6.57 μB per cell